No. 1
Below is an optimized crystal structure of Rb8Bi2As, with properties calculated at the PBE-GGA level.

Calculated values
- Energy above the most stable polymorph in this dataset: 0.00 eV/f.u.
- Formation energy from the elements: -0.284 eV/atom
- E_tot: -23.280 eV/cell
- V: 49.7 Å³/atom

a = 6.268 Å, b = 8.662 Å, c = 11.272 Å
α = 110.73°, β = 106.14°, γ = 90.00°
Fractional coordinates of all 11 atoms:
Bi 0.827 0.323 0.654
Bi 0.173 0.677 0.346
Rb 0.398 0.584 0.797
Rb 0.602 0.416 0.203
Rb 0.016 0.785 0.031
Rb 0.656 0.940 0.312
Rb 0.984 0.215 0.969
Rb 0.792 0.721 0.583
Rb 0.344 0.060 0.688
Rb 0.208 0.279 0.417
As 0.500 0.000 0.000

=====

No. 2
Below is an optimized crystal structure of NiPbI3, with properties calculated at the PBE-GGA level.

Calculated values
- Energy above the most stable polymorph in this dataset: 0.00 eV/f.u.
- E_tot: -14.468 eV/cell
- V: 30.5 Å³/atom

a = 5.340 Å, b = 5.340 Å, c = 5.340 Å
α = 90.00°, β = 90.00°, γ = 90.00°
Fractional coordinates of all 5 atoms:
I 0.500 0.000 0.000
I 0.000 0.500 0.000
I 0.000 0.000 0.500
Pb 0.500 0.500 0.500
Ni 0.000 0.000 0.000

=====

No. 3
Below is an optimized crystal structure of NaCa3Pt, with properties calculated at the PBE-GGA level.

Calculated values
- Energy above the most stable polymorph in this dataset: 0.65 eV/f.u.
- Formation energy from the elements: -0.338 eV/atom
- E_tot: -30.107 eV/cell
- V: 32.8 Å³/atom

a = 7.065 Å, b = 9.129 Å, c = 5.078 Å
α = 90.00°, β = 90.00°, γ = 90.00°
Fractional coordinates of all 10 atoms:
Ca 0.130 0.750 0.000
Ca 0.261 0.045 0.500
Ca 0.261 0.455 0.500
Ca 0.739 0.955 0.500
Ca 0.870 0.250 0.000
Ca 0.739 0.545 0.500
Pt 0.387 0.750 0.500
Pt 0.613 0.250 0.500
Na 0.581 0.750 0.000
Na 0.419 0.250 0.000

=====

No. 4
Below is an optimized crystal structure of Th2Si4TcIr3, with properties calculated at the PBE-GGA level.

Calculated values
- E_tot: -83.517 eV/cell
- V: 17.6 Å³/atom

a = 4.259 Å, b = 4.259 Å, c = 9.727 Å
α = 90.00°, β = 90.00°, γ = 90.00°
Fractional coordinates of all 10 atoms:
Tc 0.500 0.500 0.500
Ir 0.500 0.000 0.874
Ir 0.000 0.000 0.500
Ir 0.000 0.500 0.126
Th 0.500 0.000 0.249
Th 0.000 0.500 0.751
Si 0.000 0.000 0.000
Si 0.500 0.000 0.624
Si 0.000 0.500 0.376
Si 0.500 0.500 0.000

=====

No. 5
Below is an optimized crystal structure of CaCo2P, with properties calculated at the PBE-GGA level.

Calculated values
- Formation energy from the elements: 0.182 eV/atom
- E_tot: -20.894 eV/cell
- V: 14.7 Å³/atom

a = 4.795 Å, b = 4.795 Å, c = 4.795 Å
α = 132.41°, β = 132.41°, γ = 69.58°
Fractional coordinates of all 4 atoms:
Co 0.000 0.000 0.000
Co 0.250 0.750 0.500
Ca 0.750 0.250 0.500
P 0.500 0.500 0.000

=====

No. 6
Below is an optimized crystal structure of CaRe2Au, with properties calculated at the PBE-GGA level.

Calculated values
- Energy above the most stable polymorph in this dataset: 2.62 eV/f.u.
- Formation energy from the elements: 0.816 eV/atom
- E_tot: -26.911 eV/cell
- V: 17.6 Å³/atom

a = 10.068 Å, b = 10.068 Å, c = 10.068 Å
α = 16.35°, β = 16.35°, γ = 16.35°
Fractional coordinates of all 4 atoms:
Ca 0.750 0.750 0.750
Au 0.250 0.250 0.250
Re 0.505 0.505 0.505
Re 0.995 0.995 0.995

=====

No. 7
Below is an optimized crystal structure of Zn2CdBi, with properties calculated at the PBE-GGA level.

Calculated values
- Energy above the most stable polymorph in this dataset: 0.12 eV/f.u.
- Formation energy from the elements: 0.173 eV/atom
- E_tot: -6.653 eV/cell
- V: 22.6 Å³/atom

a = 5.035 Å, b = 5.035 Å, c = 5.035 Å
α = 60.00°, β = 60.00°, γ = 60.00°
Fractional coordinates of all 4 atoms:
Cd 0.000 0.000 0.000
Bi 0.500 0.500 0.500
Zn 0.250 0.250 0.250
Zn 0.750 0.750 0.750

=====

No. 8
Below is an optimized crystal structure of V3CrN, with properties calculated at the PBE-GGA level.

Calculated values
- Energy above the most stable polymorph in this dataset: 0.00 eV/f.u.
- E_tot: -47.296 eV/cell
- V: 12.1 Å³/atom

a = 3.924 Å, b = 3.924 Å, c = 3.924 Å
α = 90.00°, β = 90.00°, γ = 90.00°
Fractional coordinates of all 5 atoms:
Cr 0.500 0.500 0.500
N 0.000 0.000 0.000
V 0.000 0.500 0.000
V 0.500 0.000 0.000
V 0.000 0.000 0.500